Record 1
Ca2B2O5 | PBE | optimized geometry

abc: 3.593 6.403 19.426
angles: 90.00 92.32 90.00
Positions (direct):
Ca 0.215 0.050 0.290
Ca 0.215 0.450 0.790
Ca 0.250 0.194 0.562
Ca 0.250 0.306 0.062
Ca 0.750 0.694 0.938
Ca 0.750 0.806 0.438
Ca 0.785 0.550 0.210
Ca 0.785 0.950 0.710
B 0.323 0.748 0.083
B 0.323 0.752 0.583
B 0.338 0.534 0.343
B 0.338 0.966 0.843
B 0.662 0.034 0.157
B 0.662 0.466 0.657
B 0.677 0.248 0.417
B 0.677 0.252 0.917
O 0.217 0.735 0.353
O 0.217 0.765 0.853
O 0.259 0.693 0.015
O 0.259 0.807 0.515
O 0.267 0.608 0.134
O 0.267 0.892 0.634
O 0.295 0.074 0.783
O 0.295 0.426 0.283
O 0.465 0.549 0.597
O 0.465 0.951 0.097
O 0.535 0.049 0.903
O 0.535 0.451 0.403
O 0.705 0.574 0.717
O 0.705 0.926 0.217
O 0.733 0.108 0.366
O 0.733 0.392 0.866
O 0.741 0.193 0.485
O 0.741 0.307 0.985
O 0.783 0.235 0.147
O 0.783 0.265 0.647

As for the space group: P2_1/c, No. 14. Its formation energy without anion corrections is -25.7 eV per formula unit. Its crystal system is monoclinic. The value obtained for the offset from the most stable computed form is 0.1 meV/atom. The value obtained for the total magnetic moment is 0.00 μB per atom. The density of states at the Fermi level is 0.0000 states/eV per atom.

Record 2
CaB2O10 | PBE | optimized geometry

abc: 9.652 5.955 7.169
angles: 90.00 97.19 90.00
Positions (direct):
Ca 0.000 0.131 0.250
Ca 0.000 0.869 0.750
B 0.126 0.373 0.633
B 0.126 0.627 0.133
B 0.874 0.373 0.867
B 0.874 0.627 0.367
O 0.100 0.170 0.582
O 0.100 0.830 0.082
O 0.145 0.426 0.184
O 0.145 0.574 0.684
O 0.435 0.265 0.029
O 0.435 0.735 0.529
O 0.436 0.064 0.739
O 0.436 0.936 0.239
O 0.437 0.266 0.450
O 0.437 0.734 0.950
O 0.563 0.266 0.050
O 0.563 0.734 0.550
O 0.564 0.064 0.761
O 0.564 0.936 0.261
O 0.565 0.265 0.471
O 0.565 0.735 0.971
O 0.855 0.426 0.316
O 0.855 0.574 0.816
O 0.900 0.170 0.918
O 0.900 0.830 0.418

As for the space group: P2/c, No. 13. Its formation energy without anion corrections is -16.9 eV per formula unit. Its crystal system is monoclinic. The value obtained for the offset from the most stable computed form is 0.0 meV/atom. The value obtained for the total magnetic moment is 0.15 μB per atom.

Record 3
CaBO2 | PBE | optimized geometry

abc: 5.081 5.081 5.081
angles: 44.18 44.18 44.18
Positions (direct):
Ca 0.000 0.000 0.000
B 0.500 0.500 0.500
O 0.405 0.405 0.405
O 0.595 0.595 0.595

As for the space group: R-3m, No. 166. Its formation energy without anion corrections is -8.6 eV per formula unit. Its crystal system is trigonal. The value obtained for the total magnetic moment is 0.00 μB per atom. The density of states at the Fermi level is 0.3676 states/eV per atom.

Record 4
CaBOsO6 | PBE | optimized geometry

abc: 4.938 4.939 5.351
angles: 90.66 111.09 90.53
Positions (direct):
Ca 0.000 0.000 0.000
B 0.523 0.430 0.883
Os 0.660 0.517 0.382
O 0.349 0.720 0.307
O 0.367 0.293 0.009
O 0.577 0.317 0.666
O 0.677 0.658 0.022
O 0.893 0.259 0.347
O 0.927 0.739 0.612

As for the space group: P1, No. 1. Its formation energy without anion corrections is -16.1 eV per formula unit. Its crystal system is triclinic. The value obtained for the total magnetic moment is 0.11 μB per atom.

Record 5
CaB2PO6 | PBE | optimized geometry

abc: 6.384 6.384 5.027
angles: 103.62 103.62 88.93
Positions (direct):
Ca 0.148 0.852 0.750
Ca 0.852 0.148 0.250
B 0.150 0.316 0.817
B 0.316 0.150 0.317
B 0.684 0.850 0.683
B 0.850 0.684 0.183
P 0.332 0.668 0.250
P 0.668 0.332 0.750
O 0.098 0.653 0.311
O 0.166 0.203 0.051
O 0.203 0.166 0.551
O 0.254 0.526 0.896
O 0.347 0.902 0.189
O 0.474 0.746 0.604
O 0.526 0.254 0.396
O 0.653 0.098 0.811
O 0.746 0.474 0.104
O 0.797 0.834 0.449
O 0.834 0.797 0.949
O 0.902 0.347 0.689

As for the space group: C2/c, No. 15. Its formation energy without anion corrections is -21.9 eV per formula unit. Its crystal system is monoclinic. The value obtained for the total magnetic moment is 0.10 μB per atom.

Record 6
CaPaB2O8 | PBE | optimized geometry

abc: 6.493 6.493 6.493
angles: 137.36 137.36 61.89
Positions (direct):
Ca 0.000 0.000 0.000
Pa 0.250 0.750 0.500
B 0.500 0.500 0.000
B 0.750 0.250 0.500
O 0.329 0.665 0.144
O 0.335 0.479 0.664
O 0.439 0.067 0.137
O 0.521 0.185 0.856
O 0.698 0.561 0.629
O 0.815 0.671 0.336
O 0.930 0.302 0.863
O 0.933 0.070 0.371

As for the space group: I-4, No. 82. Its formation energy without anion corrections is -27.6 eV per formula unit. Its crystal system is tetragonal. The value obtained for the total magnetic moment is 0.25 μB per atom. The density of states at the Fermi level is 0.3789 states/eV per atom.

Question: Which value of formation energy without anion corrections does entry 5 give?
Answer: -21.9 eV per formula unit